(1)
This record from Alexandria describes a relaxed structure of LiPm2SmTe4. The functional is PBE.

- formation energy (no corrections) (eV per atom) = -1.369
- SG = P2/m (10)

```
LiPm2SmTe4
1.0
-0.788 0.463 -4.314
-0.345 -7.623 -0.755
-7.006 2.707 1.570
Te Sm Li Pm
4 1 1 2
direct
0.000 0.739 0.238 Te
0.500 0.256 0.242 Te
0.500 0.744 0.758 Te
0.000 0.261 0.762 Te
0.000 0.000 0.000 Sm
0.500 0.500 0.000 Li
0.000 0.500 0.500 Pm
0.500 0.000 0.500 Pm
```

***

(2)
This record from Alexandria describes a relaxed structure of Ce6Ge3Pt. The functional is PBE.

- SG = Cmc2_1 (36)
- ΔH_f (0 K) (eV/atom) = -0.556

```
Ce6Ge3Pt
1.0
6.789 0.000 0.000
0.000 8.882 -0.680
0.000 -2.645 8.506
Pt Ce Ge
2 12 6
direct
0.619 0.830 0.170 Pt
0.119 0.170 0.830 Pt
0.558 0.642 0.762 Ce
0.307 0.648 0.352 Ce
0.781 0.901 0.499 Ce
0.558 0.238 0.358 Ce
0.790 0.056 0.944 Ce
0.781 0.501 0.099 Ce
0.281 0.499 0.901 Ce
0.058 0.762 0.642 Ce
0.058 0.358 0.238 Ce
0.281 0.099 0.501 Ce
0.807 0.352 0.648 Ce
0.290 0.944 0.056 Ce
0.932 0.043 0.267 Ge
0.229 0.443 0.557 Ge
0.432 0.957 0.733 Ge
0.432 0.267 0.043 Ge
0.729 0.557 0.443 Ge
0.932 0.733 0.957 Ge
```

***

The calculation returns the following total DFT energy (no corrections) values, one per record and in order: -4.96 -6.11 eV/atom.
The calculation returns the following DOS at the Fermi energy values, one per record and in order: 3.314 46.596 states/eV per cell.